# PBE-GGA Sr6Ca12Pm, relaxed
# - D(E_F) (states/eV/cell) = 81.82
# - formation energy (eV/atom) = 0.105
data_Sr6Ca12Pm
_symmetry_space_group_name_H-M 'R -3 m'
_symmetry_Int_Tables_number 166
_symmetry_space_group_name_Hall '-R 3 2"'
_cell_length_a 15.2325
_cell_length_b 15.2325
_cell_length_c 13.3613
_cell_angle_alpha 90.00
_cell_angle_beta 90.00
_cell_angle_gamma 120.00
loop_
_atom_site_label
_atom_site_fract_x
_atom_site_fract_y
_atom_site_fract_z
_atom_site_occupancy
Sr1 0.0877 0.1754 0.2542 1
Ca1 0.0000 0.2570 0.5000 1
Ca2 0.0541 0.5271 0.6250 1
Pm1 0.0000 0.0000 0.5000 1